Record 1
# Tb2NiBPt6 PBE-GGA optimized geometry
# - ΔE_f (eV per atom) = -0.790
# - space group = R-3m, No. 166
data_Tb2NiBPt6
_symmetry_space_group_name_H-M 'P 1'
_symmetry_Int_Tables_number 1
_symmetry_space_group_name_Hall 'P 1'
_cell_length_a 5.584
_cell_length_b 7.294
_cell_length_c 7.295
_cell_angle_alpha 45.01
_cell_angle_beta 67.49
_cell_angle_gamma 90.00
loop_
_atom_site_label
_atom_site_type_symbol
_atom_site_fract_x
_atom_site_fract_y
_atom_site_fract_z
Pt1 Pt 0.778 0.738 0.960
Pt2 Pt 0.222 0.262 0.040
Pt3 Pt 0.738 0.778 0.525
Pt4 Pt 0.262 0.222 0.475
B1 B 0.500 0.500 0.000
Pt5 Pt 0.262 0.738 0.959
Pt6 Pt 0.738 0.262 0.041
Tb1 Tb 0.293 0.707 0.414
Tb2 Tb 0.707 0.293 0.586
Ni1 Ni 0.000 0.000 0.000



Record 2
# NbCuTeO6 PBE-GGA optimized geometry
# - space group = P-31c, No. 163
# - formation energy (no corrections) (eV/atom) = -1.33
data_NbCuTeO6
_symmetry_space_group_name_H-M 'P 1'
_symmetry_Int_Tables_number 1
_symmetry_space_group_name_Hall 'P 1'
_cell_length_a 5.301
_cell_length_b 5.301
_cell_length_c 9.271
_cell_angle_alpha 90.00
_cell_angle_beta 90.00
_cell_angle_gamma 120.00
loop_
_atom_site_label
_atom_site_type_symbol
_atom_site_fract_x
_atom_site_fract_y
_atom_site_fract_z
O1 O 0.643 0.008 0.366
O2 O 0.357 0.992 0.634
O3 O 0.992 0.357 0.134
Te1 Te 0.667 0.333 0.250
Cu1 Cu 0.000 0.000 0.500
Nb1 Nb 0.667 0.333 0.750
O4 O 0.365 0.357 0.366
O5 O 0.992 0.635 0.366
O6 O 0.008 0.643 0.866
O7 O 0.635 0.643 0.634
O8 O 0.008 0.365 0.634
Nb2 Nb 0.333 0.667 0.250
Cu2 Cu 0.000 0.000 0.000
O9 O 0.365 0.008 0.134
Te2 Te 0.333 0.667 0.750
O10 O 0.643 0.635 0.134
O11 O 0.357 0.365 0.866
O12 O 0.635 0.992 0.866



Record 3
# GdCoSn PBE-GGA optimized geometry
# - ΔE_f (eV per atom) = -0.381
# - space group = P-6m2, No. 187
data_GdCoSn
_symmetry_space_group_name_H-M 'P 1'
_symmetry_Int_Tables_number 1
_symmetry_space_group_name_Hall 'P 1'
_cell_length_a 3.662
_cell_length_b 4.506
_cell_length_c 4.506
_cell_angle_alpha 120.00
_cell_angle_beta 90.00
_cell_angle_gamma 90.00
loop_
_atom_site_label
_atom_site_type_symbol
_atom_site_fract_x
_atom_site_fract_y
_atom_site_fract_z
Gd1 Gd 0.667 0.333 0.667
Co1 Co 0.166 0.667 0.333
Sn1 Sn 0.167 0.000 0.000



What is the formula in the third record?
GdCoSn